Compound: RbCaMoO4
Source: Alexandria via LeMat-Bulk
Functional: PBE+U
Structure: optimized geometry

Structure (POSCAR):
```
RbCaMoO4
1.0
6.213 0.000 0.142
0.000 6.198 0.000
-2.272 0.000 7.279
Rb Ca Mo O
2 2 2 8
direct
0.734 0.750 0.947
0.266 0.250 0.053
0.837 0.750 0.471
0.163 0.250 0.529
0.291 0.750 0.346
0.709 0.250 0.654
0.935 0.468 0.672
0.065 0.968 0.328
0.065 0.532 0.328
0.935 0.032 0.672
0.428 0.750 0.163
0.572 0.250 0.837
0.489 0.750 0.572
0.511 0.250 0.428
```

## Properties
Total magnetic moment (μB per formula unit): 1.0
Calculated total energy (eV per atom): -6.297
Calculated volume (Å³/cell): 282